Below is an optimized crystal structure of Ca2As4Pd3, with properties calculated at the PBE-GGA level.

The magnetic moment comes out at 0.000 μB/cell. The calculation puts the formation energy at -0.647 eV/atom.

The space group is Fmmm (No. 69) and the conventional cell measures 5.672, 10.328 and 12.588 Å, with angles of 90.00, 90.00 and 90.00 degrees. Symmetry generates all atoms from Ca at (0.000, 0.000, 0.144), As at (0.000, 0.159, 0.348), Pd at (0.000, 0.000, 0.500) and Pd at (0.250, 0.250, 0.000).

---

Below is an optimized crystal structure of Ca3As2Pd6, with properties calculated at the PBE-GGA level.

The magnetic moment comes out at 1.728 μB/cell. The calculation puts the formation energy at -0.685 eV/atom.

The space group is Im-3m (No. 229) and the conventional cell measures 9.571, 9.571 and 9.571 Å, with angles of 90.00, 90.00 and 90.00 degrees. Symmetry generates all atoms from Ca at (0.000, 0.000, 0.298), As at (0.250, 0.250, 0.250) and Pd at (0.000, 0.321, 0.321).

---

Below is an optimized crystal structure of Ca2As3Pd, with properties calculated at the PBE-GGA level.

The magnetic moment comes out at 0.000 μB/cell. The calculation puts the formation energy at -0.792 eV/atom.

The space group is Fddd (No. 70, origin choice 2) and the conventional cell measures 8.235, 16.249 and 16.507 Å, with angles of 90.00, 90.00 and 90.00 degrees. Symmetry generates all atoms from Ca at (0.125, 0.125, 0.004), Ca at (0.125, 0.125, 0.509), As at (0.106, 0.281, 0.874), As at (0.125, 0.318, 0.625) and Pd at (0.125, 0.282, 0.125).

---

Below is an optimized crystal structure of Ca3As4Pd2, with properties calculated at the PBE-GGA level.

The magnetic moment comes out at 0.000 μB/cell. The calculation puts the energy above the most stable polymorph in this dataset at 0.291 eV/f.u. The calculation puts the formation energy at -0.857 eV/atom.

The space group is C2/m (No. 12) and the conventional cell measures 10.867, 4.424 and 8.243 Å, with angles of 90.00, 105.58 and 90.00 degrees. Symmetry generates all atoms from Ca at (0.000, 0.000, 0.000), Ca at (0.122, 0.500, 0.697), As at (0.078, 0.000, 0.401), As at (0.211, 0.500, 0.064) and Pd at (0.195, 0.500, 0.370).

---

Below is an optimized crystal structure of Ca2As5Pd3, with properties calculated at the PBE-GGA level.

The magnetic moment comes out at 0.000 μB/cell. The calculation puts the formation energy at -0.617 eV/atom.

The space group is Ibam (No. 72) and the conventional cell measures 10.347, 11.835 and 6.610 Å, with angles of 90.00, 90.00 and 90.00 degrees. Symmetry generates all atoms from Ca at (0.227, 0.125, 0.000), As at (0.000, 0.000, 0.250), As at (0.000, 0.276, 0.250), As at (0.153, 0.391, 0.000), Pd at (0.000, 0.500, 0.250) and Pd at (0.111, 0.143, 0.500).

---

Below is an optimized crystal structure of CaAs2Pd, with properties calculated at the PBE-GGA level.

The magnetic moment comes out at 0.000 μB/cell. The calculation puts the formation energy at -0.183 eV/atom.

The space group is R-3m (No. 166, hexagonal axes) and the conventional cell measures 4.0841, 4.0841 and 23.0633 Å, with angles of 90.00, 90.00 and 120.00 degrees. Symmetry generates all atoms from Ca at (0.0000, 0.0000, 0.0000), As at (0.0000, 0.0000, 0.1258) and Pd at (0.0000, 0.0000, 0.5000).

---

magnetic moment of number 3 (Ca2As3Pd)? 0.000 μB/cell

---

Which value of magnetic moment does entry 6 give? 0.000 μB/cell